1.
The following is a DFT calculation (GGA-PBE) of NdTm2Mg after structural relaxation.

Its energy above the lowest structure with this stoichiometry is 5.5 meV per atom. The value obtained for the energy of formation is -0.02 eV/atom. For the total magnetization, the calculation gives 0.000 μB per formula unit. The space-group type is No. 123.

Lattice parameters (Å, degrees): 3.613 3.613 9.092 90.00 90.00 90.00
Atoms (fractional coordinates):
Nd  0.000  0.000  0.000
Tm  0.500  0.500  0.274
Tm  0.500  0.500  0.726
Mg  0.000  0.000  0.500

=====

2.
The following is a DFT calculation (GGA-PBE) of Nd12Tm5Mg2 after structural relaxation.

The value obtained for the energy of formation is 0.09 eV/atom. For the total magnetization, the calculation gives 0.000 μB per formula unit. The space-group type is No. 12.

Lattice parameters (Å, degrees): 9.143 9.143 8.597 91.94 91.94 60.58
Atoms (fractional coordinates):
Nd  0.061  0.061  0.340
Nd  0.068  0.679  0.322
Nd  0.165  0.535  0.765
Nd  0.321  0.932  0.678
Nd  0.418  0.418  0.118
Nd  0.465  0.835  0.235
Nd  0.535  0.165  0.765
Nd  0.582  0.582  0.882
Nd  0.679  0.068  0.322
Nd  0.835  0.465  0.235
Nd  0.932  0.321  0.678
Nd  0.939  0.939  0.660
Tm  0.201  0.201  0.024
Tm  0.269  0.269  0.427
Tm  0.500  0.500  0.500
Tm  0.731  0.731  0.573
Tm  0.799  0.799  0.976
Mg  0.164  0.836  0.000
Mg  0.836  0.164  0.000

=====

3.
The following is a DFT calculation (GGA-PBE) of Nd4Tm2Mg after structural relaxation.

Its energy above the lowest structure with this stoichiometry is 35.3 meV per atom. The value obtained for the energy of formation is 0.12 eV/atom. For the total magnetization, the calculation gives 0.000 μB per formula unit. The space-group type is No. 10.

Lattice parameters (Å, degrees): 5.948 3.668 11.009 90.00 99.25 90.00
Atoms (fractional coordinates):
Nd  0.047  0.000  0.206
Nd  0.437  0.500  0.748
Nd  0.563  0.500  0.252
Nd  0.953  0.000  0.794
Tm  0.000  0.500  0.500
Tm  0.500  0.000  0.500
Mg  0.500  0.000  0.000

=====

4.
The following is a DFT calculation (GGA-PBE) of NdTm4Mg2 after structural relaxation.

Its energy above the lowest structure with this stoichiometry is 465.5 meV per atom. The value obtained for the energy of formation is 0.51 eV/atom. For the total magnetization, the calculation gives 0.564 μB per formula unit. The space-group type is No. 166.

Lattice parameters (Å, degrees): 10.797 10.797 10.797 27.52 27.52 27.52
Atoms (fractional coordinates):
Nd  0.000  0.000  0.000
Tm  0.202  0.202  0.202
Tm  0.396  0.396  0.396
Tm  0.604  0.604  0.604
Tm  0.798  0.798  0.798
Mg  0.100  0.100  0.100
Mg  0.900  0.900  0.900